Compound: TlMoCl2
Source: Alexandria via LeMat-Bulk
Functional: PBE
Structure: optimized geometry

Output
- Raw formation energy: -0.214 eV/atom
- Distance to the lowest polymorph of the same formula: 2.31 kJ per mole of atoms
- Electronic total energy: -4.436 eV/atom
- ρ: 5.9 g/cm3

Cell: 3.1523 5.5101 11.9440 Å, 90.00 90.00 90.00°
Space group Immm (No. 71)
Asymmetric unit:
Tl 0.0000 0.0000 0.0000 (multiplicity 2)
Mo 0.0000 0.0000 0.5000 (multiplicity 2)
Cl 0.0000 0.5000 0.1616 (multiplicity 4)


Compound: Tl2MoCl
Source: Alexandria via LeMat-Bulk
Functional: PBE
Structure: optimized geometry

Output
- Raw formation energy: 0.350 eV/atom
- Distance to the lowest polymorph of the same formula: 21.26 kJ per mole of atoms
- Electronic total energy: -4.002 eV/atom
- ρ: 10.1 g/cm3

Cell: 7.5759 7.5928 3.0744 Å, 90.00 90.00 90.00°
Space group Cmmm (No. 65)
Asymmetric unit:
Tl 0.2500 0.2500 0.0000 (multiplicity 4)
Mo 0.0000 0.0000 0.5000 (multiplicity 2)
Cl 0.0000 0.5000 0.5000 (multiplicity 2)


Compound: Tl2MoCl
Source: Alexandria via LeMat-Bulk
Functional: PBE
Structure: optimized geometry

Output
- Raw formation energy: 0.462 eV/atom
- Distance to the lowest polymorph of the same formula: 32.00 kJ per mole of atoms
- Electronic total energy: -3.891 eV/atom
- ρ: 8.8 g/cm3

Cell: 4.9951 3.4472 6.0394 Å, 90.00 100.87 90.00°
Space group P2/m (No. 10)
Asymmetric unit:
Tl 0.0000 0.0000 0.0000 (multiplicity 1)
Tl 0.5000 0.5000 0.5000 (multiplicity 1)
Mo 0.0000 0.0000 0.5000 (multiplicity 1)
Cl 0.5000 0.5000 0.0000 (multiplicity 1)


Compound: TlMoCl2
Source: Alexandria via LeMat-Bulk
Functional: PBE
Structure: optimized geometry

Output
- Raw formation energy: -0.181 eV/atom
- Distance to the lowest polymorph of the same formula: 5.50 kJ per mole of atoms
- Electronic total energy: -4.403 eV/atom
- ρ: 6.7 g/cm3

Cell: 3.0523 3.1243 9.5881 Å, 90.00 90.88 90.00°
Space group P2/m (No. 10)
Asymmetric unit:
Tl 0.0000 0.0000 0.0000 (multiplicity 1)
Mo 0.5000 0.0000 0.5000 (multiplicity 1)
Cl 0.4910 0.5000 0.3053 (multiplicity 2)